Entry 1:
Density functional theory data (GGA-PBE) for a relaxed structure of Sr12Cu3N5.

a b c (Å): 14.4985 14.4985 14.4985
angles (deg): 109.47 109.47 109.47
Atoms (fractional coordinates):
Cu 0.7500 0.3750 0.1250
Cu 0.8750 0.7500 0.1250
Cu 0.3750 0.7500 0.6250
Cu 0.2500 0.1250 0.3750
Cu 0.8750 0.1250 0.2500
Cu 0.3750 0.6250 0.2500
Cu 0.6250 0.3750 0.7500
Cu 0.1250 0.8750 0.7500
Cu 0.7500 0.8750 0.6250
Cu 0.6250 0.2500 0.3750
Cu 0.1250 0.2500 0.8750
Cu 0.2500 0.6250 0.8750
N 0.1250 0.3750 0.2500
N 0.0000 0.5000 0.0000
N 0.0000 0.0000 0.0000
N 0.3750 0.2500 0.1250
N 0.5000 0.0000 0.5000
N 0.5000 0.5000 0.0000
N 0.1250 0.7500 0.3750
N 0.7500 0.1250 0.8750
N 0.7500 0.6250 0.3750
N 0.3750 0.1250 0.7500
N 0.6250 0.8750 0.2500
N 0.5000 0.5000 0.5000
N 0.5000 0.0000 0.0000
N 0.0000 0.0000 0.5000
N 0.2500 0.3750 0.6250
N 0.2500 0.8750 0.1250
N 0.0000 0.5000 0.5000
N 0.8750 0.2500 0.6250
N 0.6250 0.7500 0.8750
N 0.8750 0.6250 0.7500
Sr 0.6980 0.1175 0.0167
Sr 0.3187 0.5167 0.3993
Sr 0.9833 0.3825 0.3020
Sr 0.5167 0.1980 0.1175
Sr 0.5806 0.6980 0.6813
Sr 0.9833 0.6007 0.1813
Sr 0.3187 0.8020 0.4194
Sr 0.1007 0.9194 0.1175
Sr 0.6007 0.9833 0.6813
Sr 0.6980 0.5806 0.1813
Sr 0.8020 0.4833 0.3825
Sr 0.8187 0.8993 0.0167
Sr 0.1175 0.6980 0.5167
Sr 0.3825 0.3993 0.0806
Sr 0.0806 0.8993 0.3825
Sr 0.4194 0.1175 0.6007
Sr 0.0806 0.1813 0.1980
Sr 0.4833 0.6813 0.1007
Sr 0.8187 0.9194 0.3020
Sr 0.1175 0.4194 0.1007
Sr 0.3825 0.9833 0.8020
Sr 0.6007 0.6175 0.4194
Sr 0.8993 0.8187 0.5167
Sr 0.8020 0.3187 0.9194
Sr 0.3993 0.3825 0.5806
Sr 0.1007 0.1813 0.4833
Sr 0.1980 0.6813 0.0806
Sr 0.1813 0.0806 0.6980
Sr 0.6175 0.0167 0.1980
Sr 0.8825 0.5806 0.8993
Sr 0.5167 0.3187 0.8993
Sr 0.5806 0.8825 0.3993
Sr 0.9194 0.8187 0.8020
Sr 0.9194 0.1007 0.6175
Sr 0.8825 0.3020 0.4833
Sr 0.1813 0.1007 0.9833
Sr 0.6175 0.6007 0.9194
Sr 0.3993 0.0167 0.3187
Sr 0.3020 0.4194 0.8187
Sr 0.1980 0.5167 0.6175
Sr 0.8993 0.0806 0.8825
Sr 0.6813 0.1980 0.5806
Sr 0.4833 0.8020 0.8825
Sr 0.0167 0.3993 0.8187
Sr 0.4194 0.3020 0.3187
Sr 0.0167 0.6175 0.6980
Sr 0.6813 0.4833 0.6007
Sr 0.3020 0.8825 0.9833

Output
Formation energy from raw total energies, eV/atom: -0.25
Mass density, g/cm3: 3.71
VASP energy, eV per cell: -316.711
Spin magnetization, μB/cell: 0.00

---

Entry 2:
Density functional theory data (GGA-PBE) for a relaxed structure of LiAg2HgBi.

a b c (Å): 5.4520 5.4474 5.4520
angles (deg): 90.00 90.00 90.00
Atoms (fractional coordinates):
Li 0.0000 0.5000 0.0000
Bi 0.0000 0.0000 0.0000
Ag 0.0000 0.0000 0.5000
Ag 0.5000 0.0000 0.0000
Hg 0.5000 0.5000 0.5000

Output
Mass density, g/cm3: 6.48
Energy relative to the elements, kcal/mol of atoms: 4.13
VASP energy, eV per cell: -10.903
Spin magnetization, μB/cell: 0.00

---

Entry 3:
Density functional theory data (GGA-PBE) for a relaxed structure of RbNaSi2.

a b c (Å): 6.9457 8.0415 9.0062
angles (deg): 90.00 90.00 90.00
Atoms (fractional coordinates):
Rb 0.7500 0.0012 0.3382
Rb 0.7500 0.5012 0.1618
Rb 0.2500 0.9988 0.6618
Rb 0.2500 0.4988 0.8382
Na 0.7500 0.8058 0.8131
Na 0.7500 0.3058 0.6869
Na 0.2500 0.1942 0.1869
Na 0.2500 0.6942 0.3131
Si 0.9160 0.6218 0.5376
Si 0.5840 0.1218 0.9624
Si 0.4160 0.3782 0.4624
Si 0.0840 0.8782 0.0376
Si 0.0840 0.3782 0.4624
Si 0.4160 0.8782 0.0376
Si 0.5840 0.6218 0.5376
Si 0.9160 0.1218 0.9624

Output
Formation energy from raw total energies, eV/atom: 0.07
Mass density, g/cm3: 2.17
VASP energy, eV per cell: -51.404
Spin magnetization, μB/cell: 0.00

---

Entry 4:
Density functional theory data (GGA-PBE) for a relaxed structure of TbTm3Sn2.

a b c (Å): 4.4989 10.3121 9.4136
angles (deg): 124.94 90.00 102.60
Each line ends with the local moment (μB).
Atoms (fractional coordinates):
Tb 0.8862 0.7724 0.9003  0.02
Tb 0.1138 0.2276 0.0997  0.02
Tm 0.3083 0.6165 0.5068  0.05
Tm 0.9442 0.8884 0.5773  0.14
Tm 0.6451 0.2902 0.8065  0.08
Tm 0.3549 0.7098 0.1935  0.08
Tm 0.0558 0.1116 0.4227  0.14
Tm 0.6917 0.3835 0.4932  0.05
Sn 0.4916 0.9831 0.8353  0.01
Sn 0.5084 0.0169 0.1647  0.01
Sn 0.7546 0.5091 0.2260  0.00
Sn 0.2454 0.4909 0.7740  0.00

Output
Mass density, g/cm3: 8.69
Energy relative to the elements, kcal/mol of atoms: -10.92
VASP energy, eV per cell: -57.782
Spin magnetization, μB/cell: 0.85

---

Entry 5:
Density functional theory data (GGA-PBE) for a relaxed structure of In3FeNi.

a b c (Å): 4.9153 4.9153 4.9153
angles (deg): 90.00 90.00 90.00
Each line ends with the local moment (μB).
Atoms (fractional coordinates):
Ni 0.5000 0.5000 0.5000  0.54
Fe 0.0000 0.0000 0.0000  1.28
In 0.0000 0.5000 0.0000  -0.04
In 0.0000 0.0000 0.5000  -0.01
In 0.5000 0.0000 0.0000  -0.05

Output
Mass density, g/cm3: 6.42
Energy relative to the elements, kcal/mol of atoms: 15.72
VASP energy, eV per cell: -19.051
Spin magnetization, μB/cell: 1.76

---

Entry 6:
Density functional theory data (GGA-PBE) for a relaxed structure of Th3TeAs2.

a b c (Å): 4.2283 4.2284 22.3124
angles (deg): 90.00 90.00 120.00
Atoms (fractional coordinates):
Th 0.0000 0.0000 0.0000
Th 0.3333 0.6667 0.1531
Th 0.3333 0.6667 0.3469
Th 0.0000 0.0000 0.5000
Th 0.6667 0.3333 0.6531
Th 0.6667 0.3333 0.8469
Te 0.0000 0.0000 0.2500
Te 0.0000 0.0000 0.7500
As 0.3333 0.6667 0.9220
As 0.6667 0.3333 0.0780
As 0.6667 0.3333 0.4220
As 0.3333 0.6667 0.5780

Output
Formation energy from raw total energies, eV/atom: -1.30
Mass density, g/cm3: 9.36
VASP energy, eV per cell: -84.956
Spin magnetization, μB/cell: 0.00